# 1
Computed, not measured: a relaxed structure of Ba2AcTmSe4 at the PBE level of DFT.

Properties
The total magnetic moment comes out at 0.00 μB/atom. The density of states at the Fermi level comes out at 3.758 states/eV per cell.

Lattice parameters (Å, degrees): 7.6683 4.4136 7.8619 90.00 108.78 90.00
With the nearest neighbours (Å) after each atom.
Space group P2/m (No. 10)
One atom of each set of equivalent atoms:
Ba 0.0000 0.0000 0.0000 [1 per cell]  6 Se 3.38-3.39
Ba 0.5000 0.5000 0.0000 [1 per cell]  6 Se 3.22-3.23
Ac 0.0000 0.5000 0.5000 [1 per cell]  6 Se 3.11-3.12
Tm 0.5000 0.0000 0.5000 [1 per cell]  6 Se 2.92-2.96
Se 0.2605 0.0000 0.7236 [2 per cell]  1 Tm 2.92, 2 Ac 3.11, 2 Ba 3.22
Se 0.2788 0.5000 0.2863 [2 per cell]  2 Tm 2.96, 1 Ac 3.12, 1 Ba 3.23

***

# 2
Computed, not measured: a relaxed structure of BPS2N at the PBE level of DFT.

Properties
The calculation puts the energy above the most stable polymorph in this dataset at 672 meV per atom. The total magnetic moment comes out at 0.00 μB/atom. The density of states at the Fermi level comes out at 2.910 states/eV per cell.

Lattice parameters (Å, degrees): 4.6185 4.6185 3.1969 90.00 90.00 90.00
With the nearest neighbours (Å) after each atom.
Space group P4/mmm (No. 123)
One atom of each set of equivalent atoms:
B 0.0000 0.0000 0.0000 [1 per cell]  8 S 2.81
P 0.5000 0.5000 0.5000 [1 per cell]  2 N 1.60
S 0.0000 0.5000 0.5000 [2 per cell]  2 P 2.31
N 0.5000 0.5000 0.0000 [1 per cell]  2 P 1.60

***

# 3
Computed, not measured: a relaxed structure of Mg3HgC4O12 at the PBE level of DFT.

Properties
The total magnetic moment comes out at 0.00 μB/atom. The density of states at the Fermi level comes out at 0.000 states/eV per cell.

Lattice parameters (Å, degrees): 9.6499 9.6499 7.8724 90.00 90.00 120.00
With the nearest neighbours (Å) after each atom.
Space group R32 (No. 155, hexagonal axes)
One atom of each set of equivalent atoms:
Mg 0.0000 0.5432 0.0000 [9 per cell]  6 O 2.07-2.13
Hg 0.0000 0.0000 0.0000 [3 per cell]  6 O 2.44
C 0.0000 0.0000 0.5000 [3 per cell]  3 O 1.30
C 0.0000 0.4585 0.5000 [9 per cell]  3 O 1.29-1.30
O 0.0000 0.5924 0.5000 [9 per cell]  1 C 1.29
O 0.0000 0.8655 0.5000 [9 per cell]  1 C 1.30
O 0.0089 0.2088 0.1825 [18 per cell]  1 C 1.30

***

# 4
Computed, not measured: a relaxed structure of LiPrTh2N4 at the PBE level of DFT.

Properties
The total magnetic moment comes out at 0.00 μB/atom.

Lattice parameters (Å, degrees): 3.6513 11.8320 11.8757 90.00 90.00 90.00
With the nearest neighbours (Å) after each atom.
Space group Cmcm (No. 63)
One atom of each set of equivalent atoms:
Li 0.0000 0.1637 0.2500 [4 per cell]  2 N 1.98
Pr 0.0000 0.1013 0.7500 [4 per cell]  2 N 2.52
Th 0.0000 0.3682 0.5600 [8 per cell]  6 N 2.43-2.50
N 0.0000 0.0000 0.0000 [4 per cell]  4 Th 2.50
N 0.0000 0.2602 0.1138 [8 per cell]  1 Li 1.98
N 0.0000 0.4545 0.7500 [4 per cell]  2 Li 2.30, 2 Th 2.48, 2 Pr 2.52

***

# 5
Computed, not measured: a relaxed structure of HfZnTeI2 at the PBE level of DFT.

Properties
The calculation puts the energy above the most stable polymorph in this dataset at 0 meV per atom. The total magnetic moment comes out at 0.00 μB/atom. The density of states at the Fermi level comes out at 1.799 states/eV per cell.

Lattice parameters (Å, degrees): 5.7938 5.7938 5.5249 90.00 90.00 90.00
With the nearest neighbours (Å) after each atom.
Space group P4/mmm (No. 123)
One atom of each set of equivalent atoms:
Hf 0.0000 0.0000 0.0000 [1 per cell]  2 Te 2.76, 4 I 2.90
Zn 0.5000 0.5000 0.5000 [1 per cell]  8 I 4.00, 4 Te 4.10
Te 0.0000 0.0000 0.5000 [1 per cell]  2 Hf 2.76
I 0.0000 0.5000 0.0000 [2 per cell]  2 Hf 2.90

***

# 6
Computed, not measured: a relaxed structure of Ho2AlSiPd6 at the PBE level of DFT.

Properties
The total magnetic moment comes out at 0.00 μB/atom. The density of states at the Fermi level comes out at 3.915 states/eV per cell.

Lattice parameters (Å, degrees): 5.4584 5.5995 6.8499 78.68 67.00 73.41
With the nearest neighbours (Å) after each atom.
Space group P-1 (No. 2)
One atom of each set of equivalent atoms:
Ho 0.1687 0.2582 0.2948 [2 per cell]  7 Pd 2.77-3.06
Al 0.5000 0.5000 0.5000 [1 per cell]  6 Pd 2.48-2.61
Si 0.0000 0.0000 0.0000 [1 per cell]  6 Pd 2.33-2.51
Pd 0.2342 0.7592 0.2542 [2 per cell]  1 Si 2.51, 1 Al 2.61, 1 Ho 2.77, 3 Pd 2.80-2.81
Pd 0.2653 0.5936 0.8828 [2 per cell]  1 Si 2.42, 1 Al 2.51
Pd 0.3343 0.1188 0.6888 [2 per cell]  1 Si 2.33, 1 Al 2.48

***

# 7
Computed, not measured: a relaxed structure of CsNaHgS2 at the PBE level of DFT.

Properties
The total magnetic moment comes out at 0.00 μB/atom. The density of states at the Fermi level comes out at 0.000 states/eV per cell.

Lattice parameters (Å, degrees): 6.8042 14.9529 6.2992 90.00 90.00 90.00
With the nearest neighbours (Å) after each atom.
Space group Cmme (No. 67)
One atom of each set of equivalent atoms:
Cs 0.0000 0.2500 0.2357 [4 per cell]  8 S 3.75-3.98, 2 Hg 4.02
Na 0.2500 0.0000 0.5000 [4 per cell]  4 S 2.82
Hg 0.0000 0.0000 0.0000 [4 per cell]  2 S 2.35
S 0.0000 0.1123 0.7383 [8 per cell]  1 Hg 2.35

***

# 8
Computed, not measured: a relaxed structure of Dy3Ag5S12 at the PBE level of DFT.

Properties
The total magnetic moment comes out at 0.00 μB/atom. The density of states at the Fermi level comes out at 128.391 states/eV per cell.

Lattice parameters (Å, degrees): 15.3283 15.3283 15.3283 90.00 90.00 90.00
With the nearest neighbours (Å) after each atom.
Space group Ia-3d (No. 230)
One atom of each set of equivalent atoms:
Dy 0.0000 0.2500 0.1250 [24 per cell]  8 S 2.82-2.90
Ag 0.0000 0.0000 0.0000 [16 per cell]  6 S 2.53
Ag 0.0000 0.2500 0.3750 [24 per cell]  4 S 2.45
S 0.0165 0.0635 0.6514 [96 per cell]  2 Ag 2.45-2.53

***

Number 1: E_form (uncorrected) -1.871 eV/atom. Number 2: E_form (uncorrected) 1.325 eV/atom. Number 3: E_form (uncorrected) -1.751 eV/atom. Number 4: E_form (uncorrected) -1.323 eV/atom. Number 5: E_form (uncorrected) -0.217 eV/atom. Number 6: E_form (uncorrected) -0.759 eV/atom. Number 7: E_form (uncorrected) -0.827 eV/atom. Number 8: E_form (uncorrected) -0.520 eV/atom.